Record 1
! KTlSi (PBE, optimized geometry); values from VASP
! density of states at the Fermi level	0.96	states/eV/f.u.
! symmetry	C2/m
! total magnetic moment	0.0	μB/f.u.
! E_form (uncorrected)	0.011	eV per atom
! electronic total energy	-2.95	eV/atom
&SYSTEM
  ibrav = 0, nat = 12, ntyp = 3
/
ATOMIC_SPECIES
K 39.10 K.upf
Tl 204.38 Tl.upf
Si 28.09 Si.upf
ATOMIC_POSITIONS crystal
K 0.1293 0.0000 0.3650
K 0.3707 0.5000 0.6350
K 0.6293 0.5000 0.3650
K 0.8707 0.0000 0.6350
Tl 0.0825 0.5000 0.8361
Tl 0.4175 0.0000 0.1639
Tl 0.5825 0.0000 0.8361
Tl 0.9175 0.5000 0.1639
Si 0.2458 0.0000 0.8849
Si 0.2542 0.5000 0.1151
Si 0.7458 0.5000 0.8849
Si 0.7542 0.0000 0.1151
CELL_PARAMETERS angstrom
14.9922 0.0000 0.0000
0.0000 3.8497 0.0000
-1.4618 0.0000 6.5950



Record 2
! KTlSi (PBE, optimized geometry); values from VASP
! density of states at the Fermi level	0.70	states/eV/f.u.
! symmetry	C2/m
! total magnetic moment	0.0	μB/f.u.
! E_form (uncorrected)	0.054	eV per atom
! electronic total energy	-2.91	eV/atom
&SYSTEM
  ibrav = 0, nat = 12, ntyp = 3
/
ATOMIC_SPECIES
K 39.10 K.upf
Tl 204.38 Tl.upf
Si 28.09 Si.upf
ATOMIC_POSITIONS crystal
K 0.1934 0.0000 0.1935
K 0.3066 0.5000 0.8065
K 0.6934 0.5000 0.1935
K 0.8066 0.0000 0.8065
Tl 0.9996 0.5000 0.2595
Tl 0.0004 0.5000 0.7405
Tl 0.4996 0.0000 0.2595
Tl 0.5004 0.0000 0.7405
Si 0.0938 0.0000 0.5929
Si 0.4062 0.5000 0.4071
Si 0.5938 0.5000 0.5929
Si 0.9062 0.0000 0.4071
CELL_PARAMETERS angstrom
14.6030 0.0000 0.0000
0.0000 4.1884 0.0000
-3.6492 0.0000 6.3296



Record 3
! KTlSi (PBE, optimized geometry); values from VASP
! density of states at the Fermi level	0.33	states/eV/f.u.
! symmetry	P3m1
! total magnetic moment	0.0	μB/f.u.
! E_form (uncorrected)	0.362	eV per atom
! electronic total energy	-2.60	eV/atom
&SYSTEM
  ibrav = 0, nat = 3, ntyp = 3
/
ATOMIC_SPECIES
K 39.10 K.upf
Tl 204.38 Tl.upf
Si 28.09 Si.upf
ATOMIC_POSITIONS crystal
K 0.0000 0.0000 0.0000
Tl 0.6667 0.3333 0.6139
Si 0.3333 0.6667 0.3397
CELL_PARAMETERS angstrom
3.6143 0.0000 0.0000
-1.8071 3.1300 0.0000
0.0000 0.0000 7.7453



Record 4
! K2TlSi2 (PBE, optimized geometry); values from VASP
! density of states at the Fermi level	3.37	states/eV/f.u.
! symmetry	I4/mmm
! E above lowest polymorph	125	meV/atom
! total magnetic moment	0.0	μB/f.u.
! E_form (uncorrected)	0.302	eV per atom
! electronic total energy	-2.78	eV/atom
&SYSTEM
  ibrav = 0, nat = 10, ntyp = 3
/
ATOMIC_SPECIES
K 39.10 K.upf
Tl 204.38 Tl.upf
Si 28.09 Si.upf
ATOMIC_POSITIONS crystal
K 0.0000 0.5000 0.2500
K 0.0000 0.5000 0.7500
K 0.5000 0.0000 0.2500
K 0.5000 0.0000 0.7500
Tl 0.0000 0.0000 0.0000
Tl 0.5000 0.5000 0.5000
Si 0.0000 0.0000 0.4162
Si 0.0000 0.0000 0.5838
Si 0.5000 0.5000 0.0838
Si 0.5000 0.5000 0.9162
CELL_PARAMETERS angstrom
5.2755 0.0000 0.0000
0.0000 5.2755 0.0000
0.0000 0.0000 12.8460



Record 5
! KTlSi (PBE, optimized geometry); values from VASP
! density of states at the Fermi level	1.14	states/eV/f.u.
! symmetry	Cm
! total magnetic moment	0.0	μB/f.u.
! E_form (uncorrected)	0.083	eV per atom
! electronic total energy	-2.88	eV/atom
&SYSTEM
  ibrav = 0, nat = 12, ntyp = 3
/
ATOMIC_SPECIES
K 39.10 K.upf
Tl 204.38 Tl.upf
Si 28.09 Si.upf
ATOMIC_POSITIONS crystal
K 0.0000 0.0000 0.0000
K 0.1003 0.5000 0.5266
K 0.5000 0.5000 0.0000
K 0.6003 0.0000 0.5266
Tl 0.2411 0.0000 0.8954
Tl 0.2582 0.5000 0.2117
Tl 0.7411 0.5000 0.8954
Tl 0.7582 0.0000 0.2117
Si 0.3633 0.0000 0.6759
Si 0.3759 0.5000 0.5263
Si 0.8633 0.5000 0.6759
Si 0.8759 0.0000 0.5263
CELL_PARAMETERS angstrom
13.0493 0.0000 0.0000
0.0000 3.8065 0.0000
-2.1679 0.0000 8.2788



Record 6
! KTlSi (PBE, optimized geometry); values from VASP
! density of states at the Fermi level	0.11	states/eV/f.u.
! symmetry	P-1
! total magnetic moment	0.0	μB/f.u.
! E_form (uncorrected)	0.026	eV per atom
! electronic total energy	-2.94	eV/atom
&SYSTEM
  ibrav = 0, nat = 6, ntyp = 3
/
ATOMIC_SPECIES
K 39.10 K.upf
Tl 204.38 Tl.upf
Si 28.09 Si.upf
ATOMIC_POSITIONS crystal
K 0.1969 0.1274 0.2338
K 0.8031 0.8726 0.7662
Tl 0.0148 0.3484 0.6618
Tl 0.9852 0.6516 0.3382
Si 0.3148 0.6227 0.0169
Si 0.6852 0.3773 0.9831
CELL_PARAMETERS angstrom
3.7340 0.0000 0.0000
-1.7084 6.7497 0.0000
-1.8664 -2.6024 7.4703